Material: ReSi
Method: DFT, PBE-GGA
State: optimized geometry

Output
Formation energy (no corrections): -203 meV per atom
Symmetry: P2_12_12_1
Volume: 224.03 Å³/cell
Magnetic moment: 0.00 μB/f.u.

a b c (Å): 5.1616 4.5886 9.4590
angles (deg): 90.00 90.00 90.00
With the nearest neighbours (Å) after each atom.
Fractional coordinates of all 16 atoms:
Si  0.8010  0.6262  0.9287  6 Re 2.38-2.62
Re  0.1400  0.9197  0.8272  5 Si 2.41-2.62
Si  0.1989  0.1262  0.5713  6 Re 2.38-2.62
Si  0.3328  0.4269  0.8029  6 Re 2.48-2.73, 1 Si 2.68
Re  0.6400  0.5803  0.1728  5 Si 2.41-2.62
Re  0.8600  0.4197  0.6728  5 Si 2.41-2.62
Re  0.8495  0.8640  0.4419  6 Si 2.38-2.61
Re  0.3600  0.0803  0.3272  5 Si 2.41-2.62
Si  0.1672  0.5731  0.3029  6 Re 2.48-2.73, 1 Si 2.68
Si  0.3010  0.8738  0.0713  6 Re 2.38-2.62
Re  0.3495  0.6360  0.5581  6 Si 2.38-2.61
Re  0.6505  0.1360  0.9419  6 Si 2.38-2.61
Si  0.8328  0.0731  0.1971  6 Re 2.48-2.73, 1 Si 2.68
Si  0.6990  0.3738  0.4287  6 Re 2.38-2.62
Re  0.1505  0.3640  0.0581  6 Si 2.38-2.61
Si  0.6672  0.9269  0.6971  6 Re 2.48-2.73, 1 Si 2.68

---

Material: CsRb2LiTl
Method: DFT, PBE-GGA
State: optimized geometry

Output
Symmetry: P4/mmm
Calculated formation energy: 81 meV per atom
Excess energy over the best structure of this formula in the dataset: 0.019 eV per atom
Volume: 290.73 Å³/cell
Magnetic moment: 0.00 μB/f.u.

a b c (Å): 7.1602 7.1602 5.6707
angles (deg): 90.00 90.00 90.00
With the nearest neighbours (Å) after each atom.
Fractional coordinates of all 5 atoms:
Rb  0.0000  0.5000  0.0000  2 Li 3.58
Rb  0.5000  0.0000  0.0000  2 Li 3.58
Li  0.0000  0.0000  0.0000  2 Tl 2.84
Tl  0.0000  0.0000  0.5000  2 Li 2.84
Cs  0.5000  0.5000  0.5000  8 Rb 4.57, 4 Tl 5.06

---

Material: InIrPb2S
Method: DFT, PBE-GGA
State: optimized geometry

Output
Formation energy (no corrections): 1113 meV per atom
Symmetry: P4/mmm
Volume: 164.10 Å³/cell
Magnetic moment: 0.90 μB/f.u.

a b c (Å): 5.7845 4.9043 5.7845
angles (deg): 90.00 90.00 90.00
With the nearest neighbours (Å) after each atom.
Fractional coordinates of all 5 atoms:
Pb  0.5000  0.0000  0.0000  2 In 2.89
S  0.5000  0.5000  0.5000  8 Pb 3.79, 4 Ir 4.09
Ir  0.0000  0.5000  0.0000  2 In 2.45
In  0.0000  0.0000  0.0000  2 Ir 2.45
Pb  0.0000  0.0000  0.5000  2 In 2.89

---

Material: K2Na2Zn
Method: DFT, PBE-GGA
State: optimized geometry

Output
Symmetry: P4/mbm
Calculated formation energy: 210 meV per atom
Excess energy over the best structure of this formula in the dataset: 0.094 eV per atom
Volume: 495.26 Å³/cell
Magnetic moment: 0.00 μB/f.u.

a b c (Å): 9.1544 9.1544 5.9098
angles (deg): 90.00 90.00 90.00
With the nearest neighbours (Å) after each atom.
Fractional coordinates of all 10 atoms:
Na  0.8461  0.3461  0.5000  6 K 3.82-4.11, 1 Na 3.99
Na  0.1539  0.6539  0.5000  6 K 3.82-4.11, 1 Na 3.99
K  0.3415  0.8415  0.0000  2 Zn 3.45, 2 Na 3.82
K  0.6585  0.1585  0.0000  2 Zn 3.45, 2 Na 3.82
K  0.8415  0.6585  0.0000  2 Zn 3.45, 2 Na 3.82
Zn  0.0000  0.0000  0.0000  4 K 3.45
Na  0.3461  0.1539  0.5000  6 K 3.82-4.11, 1 Na 3.99
Zn  0.5000  0.5000  0.0000  4 K 3.45
Na  0.6539  0.8461  0.5000  6 K 3.82-4.11, 1 Na 3.99
K  0.1585  0.3415  0.0000  2 Zn 3.45, 2 Na 3.82

---

Material: DyBeAl
Method: DFT, PBE-GGA
State: optimized geometry

Output
Symmetry: Cmcm
Calculated formation energy: -49 meV per atom
Excess energy over the best structure of this formula in the dataset: 0.206 eV per atom
Volume: 116.08 Å³/cell
Magnetic moment: 0.00 μB/f.u.

a b c (Å): 4.0511 3.6670 8.0262
angles (deg): 76.79 90.00 90.00
With the nearest neighbours (Å) after each atom.
Fractional coordinates of all 6 atoms:
Be  0.7500  0.5401  0.9198  2 Be 2.38, 1 Al 2.61
Dy  0.7500  0.9031  0.1937  6 Be 2.82-2.87, 1 Al 3.06
Al  0.2500  0.2927  0.4145  1 Be 2.61
Dy  0.2500  0.0969  0.8063  6 Be 2.82-2.87, 1 Al 3.06
Be  0.2500  0.4599  0.0802  2 Be 2.38, 1 Al 2.61
Al  0.7500  0.7073  0.5855  1 Be 2.61

---

Material: Ce5Ir2Au
Method: DFT, PBE-GGA
State: optimized geometry

Output
Symmetry: I4/mcm
Calculated formation energy: -589 meV per atom
Volume: 396.35 Å³/cell
Magnetic moment: 3.14 μB/f.u.

a b c (Å): 7.8111 7.8111 8.5267
angles (deg): 117.26 117.26 90.00
With the nearest neighbours (Å) after each atom.
Fractional coordinates of all 16 atoms:
Ir  0.1366  0.3634  0.0000  8 Ce 2.89-3.03, 1 Ir 3.02
Ce  0.9795  0.4795  0.2861  3 Ir 2.89-3.00
Ce  0.1934  0.0205  0.7139  3 Ir 2.89-3.00
Ir  0.3634  0.8634  0.0000  8 Ce 2.89-3.03, 1 Ir 3.02
Ce  0.0205  0.5205  0.7139  3 Ir 2.89-3.00
Ir  0.6366  0.1366  0.0000  8 Ce 2.89-3.03, 1 Ir 3.02
Au  0.2500  0.2500  0.5000  10 Ce 3.24-3.25
Ce  0.0000  0.0000  0.0000  4 Ir 3.03, 2 Au 3.25
Ce  0.6934  0.1934  0.7139  3 Ir 2.89-3.00
Ce  0.4795  0.3066  0.2861  3 Ir 2.89-3.00
Au  0.7500  0.7500  0.5000  10 Ce 3.24-3.25
Ce  0.5205  0.6934  0.7139  3 Ir 2.89-3.00
Ir  0.8634  0.6366  0.0000  8 Ce 2.89-3.03, 1 Ir 3.02
Ce  0.8066  0.9795  0.2861  3 Ir 2.89-3.00
Ce  0.5000  0.5000  0.0000  4 Ir 3.03, 2 Au 3.25
Ce  0.3066  0.8066  0.2861  3 Ir 2.89-3.00

---

Material: MgAlZnAg2
Method: DFT, PBE-GGA
State: optimized geometry

Output
Symmetry: P3m1
Calculated formation energy: -73 meV per atom
Volume: 94.45 Å³/cell
Magnetic moment: 0.00 μB/f.u.

a b c (Å): 4.5535 4.5535 5.2602
angles (deg): 90.00 90.00 120.00
With the nearest neighbours (Å) after each atom.
Fractional coordinates of all 5 atoms:
Ag  0.6667  0.3333  0.8524  2 Al 2.58-2.68, 3 Mg 2.73, 3 Zn 2.85
Zn  0.3333  0.6667  0.6416  5 Ag 2.57-2.85
Mg  0.0000  0.0000  0.9905  6 Ag 2.73-2.76
Ag  0.3333  0.6667  0.1529  2 Zn 2.57-2.69, 3 Mg 2.76, 3 Al 2.85
Al  0.6667  0.3333  0.3626  5 Ag 2.58-2.85

---

Material: Pa5GeOs2
Method: DFT, PBE-GGA
State: optimized geometry

Output
Symmetry: Cmcm
Calculated formation energy: -61 meV per atom
Volume: 350.00 Å³/cell
Magnetic moment: 0.00 μB/f.u.

a b c (Å): 5.2170 5.8991 12.6795
angles (deg): 90.00 90.00 116.24
With the nearest neighbours (Å) after each atom.
Fractional coordinates of all 16 atoms:
Os  0.8082  0.6164  0.3643  4 Pa 2.70-2.97, 1 Os 2.90, 2 Ge 3.01
Pa  0.9386  0.8772  0.8932  1 Os 2.70, 1 Ge 2.87, 1 Pa 3.00
Pa  0.0614  0.1228  0.1068  1 Os 2.70, 1 Ge 2.87, 1 Pa 3.00
Os  0.8082  0.6164  0.1357  4 Pa 2.70-2.97, 1 Os 2.90, 2 Ge 3.01
Os  0.1918  0.3836  0.6357  4 Pa 2.70-2.97, 1 Os 2.90, 2 Ge 3.01
Pa  0.3617  0.7234  0.4669  3 Os 2.80-2.97, 1 Ge 2.91, 1 Pa 3.05
Pa  0.0614  0.1228  0.3932  1 Os 2.70, 1 Ge 2.87, 1 Pa 3.00
Ge  0.7288  0.4575  0.7500  5 Pa 2.87-2.98, 4 Os 3.01
Pa  0.3617  0.7234  0.0331  3 Os 2.80-2.97, 1 Ge 2.91, 1 Pa 3.05
Pa  0.5526  0.1053  0.2500  1 Ge 2.98, 2 Os 3.07, 4 Pa 3.18
Ge  0.2712  0.5425  0.2500  5 Pa 2.87-2.98, 4 Os 3.01
Pa  0.6383  0.2766  0.5331  3 Os 2.80-2.97, 1 Ge 2.91, 1 Pa 3.05
Pa  0.9386  0.8772  0.6068  1 Os 2.70, 1 Ge 2.87, 1 Pa 3.00
Pa  0.6383  0.2766  0.9669  3 Os 2.80-2.97, 1 Ge 2.91, 1 Pa 3.05
Pa  0.4474  0.8947  0.7500  1 Ge 2.98, 2 Os 3.07, 4 Pa 3.18
Os  0.1918  0.3836  0.8643  4 Pa 2.70-2.97, 1 Os 2.90, 2 Ge 3.01

---

Material: Li3Sc3Ga8
Method: DFT, PBE-GGA
State: optimized geometry

Output
Symmetry: Immm
Calculated formation energy: -423 meV per atom
Volume: 241.16 Å³/cell
Magnetic moment: 0.00 μB/f.u.

a b c (Å): 4.1213 9.4127 8.0648
angles (deg): 125.70 104.80 90.00
With the nearest neighbours (Å) after each atom.
Fractional coordinates of all 14 atoms:
Ga  0.6403  0.9331  0.2806  3 Ga 2.55-2.72, 3 Li 2.62-2.71
Ga  0.6403  0.3475  0.2806  3 Ga 2.55-2.72, 3 Li 2.62-2.71
Li  0.0000  0.8180  0.0000  6 Ga 2.53-2.71, 2 Li 2.68
Ga  0.3597  0.0669  0.7194  3 Ga 2.55-2.72, 3 Li 2.62-2.71
Sc  0.2109  0.2109  0.4218  10 Ga 2.97-3.32, 2 Li 3.13
Sc  0.5000  0.5000  0.0000  12 Ga 3.03-3.26
Ga  0.8519  0.4852  0.7039  4 Ga 2.51-2.72, 1 Li 2.53
Li  0.0000  0.1820  0.0000  6 Ga 2.53-2.71, 2 Li 2.68
Ga  0.1481  0.5148  0.2961  4 Ga 2.51-2.72, 1 Li 2.53
Sc  0.7891  0.7891  0.5782  10 Ga 2.97-3.32, 2 Li 3.13
Ga  0.1481  0.7813  0.2961  4 Ga 2.51-2.72, 1 Li 2.53
Li  0.5000  0.0000  0.0000  4 Ga 2.62, 4 Li 2.68
Ga  0.3597  0.6525  0.7194  3 Ga 2.55-2.72, 3 Li 2.62-2.71
Ga  0.8519  0.2187  0.7039  4 Ga 2.51-2.72, 1 Li 2.53

---

Material: Sm2Y6HoTm
Method: DFT, PBE-GGA
State: optimized geometry

Output
Symmetry: C2/c
Calculated formation energy: 114 meV per atom
Volume: 651.69 Å³/cell
Magnetic moment: 0.00 μB/f.u.

a b c (Å): 9.7027 8.7698 8.7698
angles (deg): 117.76 94.79 94.79
With the nearest neighbours (Å) after each atom.
Fractional coordinates of all 20 atoms:
Sm  0.5447  0.1953  0.2964  5 Y 3.25-3.49, 2 Ho 3.36-3.39, 1 Tm 3.53
Y  0.5566  0.7491  0.1240  7 Y 3.42-3.77, 1 Sm 3.49, 1 Ho 3.63, 1 Tm 3.79
Tm  0.7500  0.5928  0.4072  8 Y 3.42-3.79, 2 Sm 3.53
Ho  0.2500  0.9802  0.0198  4 Sm 3.36-3.39, 4 Y 3.56-3.63
Tm  0.2500  0.4072  0.5928  8 Y 3.42-3.79, 2 Sm 3.53
Y  0.6862  0.0174  0.5739  3 Y 3.27-3.65, 1 Sm 3.39, 1 Tm 3.44, 1 Ho 3.56
Y  0.4434  0.2509  0.8760  7 Y 3.42-3.77, 1 Sm 3.49, 1 Ho 3.63, 1 Tm 3.79
Y  0.1862  0.5739  0.0174  3 Y 3.27-3.65, 1 Sm 3.39, 1 Tm 3.44, 1 Ho 3.56
Y  0.3138  0.9826  0.4261  3 Y 3.27-3.65, 1 Sm 3.39, 1 Tm 3.44, 1 Ho 3.56
Ho  0.7500  0.0198  0.9802  4 Sm 3.36-3.39, 4 Y 3.56-3.63
Sm  0.4553  0.8047  0.7036  5 Y 3.25-3.49, 2 Ho 3.36-3.39, 1 Tm 3.53
Y  0.3817  0.5024  0.2931  3 Sm 3.25-3.43, 4 Y 3.27-3.54, 2 Tm 3.42-3.55
Sm  0.9553  0.7036  0.8047  5 Y 3.25-3.49, 2 Ho 3.36-3.39, 1 Tm 3.53
Y  0.6183  0.4976  0.7069  3 Sm 3.25-3.43, 4 Y 3.27-3.54, 2 Tm 3.42-3.55
Y  0.1183  0.7069  0.4976  3 Sm 3.25-3.43, 4 Y 3.27-3.54, 2 Tm 3.42-3.55
Sm  0.0447  0.2964  0.1953  5 Y 3.25-3.49, 2 Ho 3.36-3.39, 1 Tm 3.53
Y  0.8817  0.2931  0.5024  3 Sm 3.25-3.43, 4 Y 3.27-3.54, 2 Tm 3.42-3.55
Y  0.0566  0.1240  0.7491  7 Y 3.42-3.77, 1 Sm 3.49, 1 Ho 3.63, 1 Tm 3.79
Y  0.8138  0.4261  0.9826  3 Y 3.27-3.65, 1 Sm 3.39, 1 Tm 3.44, 1 Ho 3.56
Y  0.9434  0.8760  0.2509  7 Y 3.42-3.77, 1 Sm 3.49, 1 Ho 3.63, 1 Tm 3.79